Here is a relaxed structure of Rb2TcRu from Alexandria via LeMat-Bulk. Energies are from GGA-PBE.

a b c (Å): 8.135 8.135 8.135
angles (deg): 90.00 90.00 90.00
Space group Fm-3m (No. 225)
Asymmetric unit:
Rb: 0.250 0.250 0.250 [8 per cell]
Tc: 0.000 0.000 0.000 [4 per cell]
Ru: 0.000 0.000 0.500 [4 per cell]

Results
As for the calculated formation energy: 216 kJ per mole of atoms.